Record 1
SrSb2Mo after structural relaxation. Source: the Alexandria database, functional PBE-GGA.

Output
Volume, Å³/f.u.: 104.1
Energy relative to the elements, uncorrected, meV/atom: 241
E above lowest polymorph, eV per atom: 0.455

abc: 6.1360 6.1360 6.1360
angles: 137.54 137.54 61.61
Closest atoms and distances in Å follow each position.
Fractional coordinates of all 4 atoms:
1 Mo 0.7500 0.2500 0.5000  8 Sb 3.14-3.45, 4 Sr 3.45
2 Sb 0.2500 0.7500 0.5000  4 Mo 3.14, 4 Sr 3.45, 4 Sb 3.45
3 Sb 0.0000 0.0000 0.0000  4 Sr 3.14, 4 Sb 3.45, 4 Mo 3.45
4 Sr 0.5000 0.5000 0.0000  8 Sb 3.14-3.45, 4 Mo 3.45

Record 2
SrSbMo2 after structural relaxation. Source: the Alexandria database, functional PBE-GGA.

Output
Volume, Å³/f.u.: 113.3
Energy relative to the elements, uncorrected, meV/atom: 666

abc: 4.7755 4.7755 10.4907
angles: 76.84 76.84 90.00
Closest atoms and distances in Å follow each position.
Fractional coordinates of all 8 atoms:
1 Mo 0.8424 0.1250 0.2500  2 Mo 2.41
2 Mo 0.9076 0.6250 0.2500  2 Mo 2.41
3 Mo 0.8750 0.0924 0.7500  2 Mo 2.41
4 Mo 0.3750 0.1576 0.7500  2 Mo 2.41
5 Sr 0.5000 0.5000 0.0000  4 Sb 3.38, 8 Mo 3.55-3.75
6 Sr 0.2500 0.7500 0.5000  4 Sb 3.38, 8 Mo 3.55-3.75
7 Sb 0.0000 0.0000 0.0000  4 Mo 2.76
8 Sb 0.7500 0.2500 0.5000  4 Mo 2.76

The lowest volume belongs to which entry? SrSb2Mo

energy relative to the elements, uncorrected of number 2 (SrSbMo2)? 666 meV/atom

Please write out number 2 again, unchanged.
SrSbMo2 after structural relaxation. Source: the Alexandria database, functional PBE-GGA.

Output
Volume, Å³/f.u.: 113.3
Energy relative to the elements, uncorrected, meV/atom: 666

abc: 4.7755 4.7755 10.4907
angles: 76.84 76.84 90.00
Closest atoms and distances in Å follow each position.
Fractional coordinates of all 8 atoms:
1 Mo 0.8424 0.1250 0.2500  2 Mo 2.41
2 Mo 0.9076 0.6250 0.2500  2 Mo 2.41
3 Mo 0.8750 0.0924 0.7500  2 Mo 2.41
4 Mo 0.3750 0.1576 0.7500  2 Mo 2.41
5 Sr 0.5000 0.5000 0.0000  4 Sb 3.38, 8 Mo 3.55-3.75
6 Sr 0.2500 0.7500 0.5000  4 Sb 3.38, 8 Mo 3.55-3.75
7 Sb 0.0000 0.0000 0.0000  4 Mo 2.76
8 Sb 0.7500 0.2500 0.5000  4 Mo 2.76

Please write out number 1 again, unchanged.
SrSb2Mo after structural relaxation. Source: the Alexandria database, functional PBE-GGA.

Output
Volume, Å³/f.u.: 104.1
Energy relative to the elements, uncorrected, meV/atom: 241
E above lowest polymorph, eV per atom: 0.455

abc: 6.1360 6.1360 6.1360
angles: 137.54 137.54 61.61
Closest atoms and distances in Å follow each position.
Fractional coordinates of all 4 atoms:
1 Mo 0.7500 0.2500 0.5000  8 Sb 3.14-3.45, 4 Sr 3.45
2 Sb 0.2500 0.7500 0.5000  4 Mo 3.14, 4 Sr 3.45, 4 Sb 3.45
3 Sb 0.0000 0.0000 0.0000  4 Sr 3.14, 4 Sb 3.45, 4 Mo 3.45
4 Sr 0.5000 0.5000 0.0000  8 Sb 3.14-3.45, 4 Mo 3.45